Entry 1:
12
Lattice="-2.357 -5.905 -0.503 5.659 -2.082 -2.077 3.401 -5.201 4.689" Properties=species:S:1:pos:R:3 comment="Zr2GaBiPd2 PBE relaxed" mass_density_g_cm3=8.7 spacegroup=I-42d magnetic_moment_mub_per_atom=0.00 total_energy_ev_per_atom=-6.387 pbc="T T T"
Zr 6.209 -6.228 3.577
Zr 4.502 -5.050 -2.256
Zr 4.156 -8.577 0.337
Zr 2.547 -4.612 1.772
Bi 1.651 -3.994 -1.290
Bi 1.347 -7.550 1.448
Pd 3.820 -6.819 2.556
Pd 0.010 -5.224 0.626
Pd 5.409 -10.967 1.253
Pd 4.167 -3.367 -0.216
Ga 5.356 -5.639 0.661
Ga 0.000 0.000 0.000



Entry 2:
16
Lattice="2.782 0.000 0.000 0.000 3.383 0.000 0.000 0.000 30.992" Properties=species:S:1:pos:R:3 comment="Cu7Pb PBE relaxed" mass_density_g_cm3=7.4 e_above_lowest_polymorph_mev_per_atom=0 spacegroup=Pmmn total_energy_ev_per_atom=-3.608 pbc="T T T"
Cu 1.391 1.691 9.732
Cu 0.000 0.000 18.705
Cu 0.000 0.000 11.005
Cu 1.391 1.691 22.570
Cu 0.000 0.000 21.260
Cu 1.391 1.691 17.421
Cu 0.000 0.000 16.139
Cu 1.391 1.691 7.178
Cu 0.000 0.000 8.422
Cu 1.391 1.691 14.852
Cu 0.000 0.000 13.570
Cu 0.000 0.000 23.815
Cu 1.391 1.691 12.286
Cu 1.391 1.691 19.986
Pb 0.000 0.000 5.214
Pb 1.391 1.691 25.779